The following is a DFT calculation (PBE) of a relaxed TaPdPt crystal.

Values from the calculation:
Total DFT energy (no corrections), eV/atom: -8.054
Formation enthalpy at 0 K, eV/atom: -0.3585
Polymorph energy (0 for the lowest one), meV per atom: 130

a = 4.6859 Å, b = 2.8155 Å, c = 7.7024 Å
α = 90.00°, β = 90.00°, γ = 90.00°
Closest atoms and distances in Å follow each position.
Space group Pmma (No. 51)
One atom of each set of equivalent atoms:
1 Ta 0.2500 0.0000 0.1185  2 Pd 2.70, 6 Pt 2.81-2.83, 4 Ta 2.82-2.97
2 Pd 0.2500 0.5000 0.4181  4 Pd 2.66-2.82, 2 Ta 2.70, 3 Pt 2.88-2.94
3 Pt 0.2500 0.5000 0.7994  6 Ta 2.81-2.83, 2 Pt 2.82, 3 Pd 2.88-2.94


The following is a DFT calculation (PBE) of a relaxed CsK2Tl2 crystal.

Values from the calculation:
Total DFT energy (no corrections), eV/atom: -1.606
Formation enthalpy at 0 K, eV/atom: -0.0498
Polymorph energy (0 for the lowest one), meV per atom: 1

a = 13.2419 Å, b = 6.5343 Å, c = 11.3944 Å
α = 90.00°, β = 105.81°, γ = 90.00°
Closest atoms and distances in Å follow each position.
Space group C2/c (No. 15)
One atom of each set of equivalent atoms:
1 Cs 0.0000 0.2498 0.2500  6 Tl 4.15-4.18, 8 K 4.29-4.34
2 K 0.1623 0.2486 0.6359  4 Tl 3.80-3.81
3 Tl 0.1357 0.2520 0.9594  1 Tl 2.92


The following is a DFT calculation (PBE) of a relaxed Ca2AlGa2Rh crystal.

Values from the calculation:
Total DFT energy (no corrections), eV/atom: -4.075
Formation enthalpy at 0 K, eV/atom: -0.5495

a = 5.9189 Å, b = 14.4793 Å, c = 6.0710 Å
α = 90.00°, β = 90.00°, γ = 90.00°
Closest atoms and distances in Å follow each position.
Space group Ibam (No. 72)
One atom of each set of equivalent atoms:
1 Ca 0.2463 0.1642 0.0000  5 Ga 3.02-3.34, 2 Al 3.18, 2 Rh 3.20
2 Al 0.0000 0.0000 0.2500  4 Ga 2.66, 2 Rh 2.96
3 Ga 0.2355 0.3951 0.0000  2 Rh 2.56, 2 Al 2.66
4 Rh 0.0000 0.5000 0.2500  4 Ga 2.56